[1]
Computed, not measured: crystalline CsHgBi3 at its relaxed geometry at the GGA-PBE level of DFT.

Summary:
Crystal system   cubic
SG   Pm-3m
Offset from the most stable computed form   1420 meV/atom

Unit cell a=6.5109 b=6.5109 c=6.5109 alpha=90.00 beta=90.00 gamma=90.00
Fractional positions:
Bi 0.0000 0.0000 0.5000
Hg 0.5000 0.5000 0.5000
Bi 0.5000 0.0000 0.0000
Cs 0.0000 0.0000 0.0000
Bi 0.0000 0.5000 0.0000

=====

[2]
Computed, not measured: crystalline Mn2TeCl at its relaxed geometry at the GGA-PBE level of DFT.

Summary:
Crystal system   orthorhombic
Formation energy without anion corrections   133 meV/atom
SG   Pmmm
Offset from the most stable computed form   286 meV/atom

Unit cell a=5.0173 b=4.6865 c=3.3827 alpha=90.00 beta=90.00 gamma=90.00
Each line ends with the local moment (μB).
Fractional positions:
Te 0.5000 0.0000 0.5000  -0.02
Mn 0.0000 0.0000 0.0000  3.96
Cl 0.0000 0.5000 0.5000  0.14
Mn 0.5000 0.5000 0.0000  3.85

=====

[3]
Computed, not measured: crystalline Tb4Ho3TmS8 at its relaxed geometry at the GGA-PBE level of DFT.

Summary:
Crystal system   trigonal
Formation energy without anion corrections   -1983 meV/atom
SG   R-3m

Unit cell a=7.7932 b=7.8102 c=7.7936 alpha=119.93 beta=120.00 gamma=90.00
Fractional positions:
Tb 0.5000 0.0000 0.0000
Tb 0.5000 0.0000 0.5000
Ho 0.5000 0.5000 0.5000
Tb 0.0000 0.0000 0.5000
Tb 0.0000 0.0000 0.0000
S 0.2470 0.7440 0.4940
S 0.7530 0.2560 0.5060
Ho 0.5000 0.5000 0.0000
S 0.2515 0.2544 0.5030
S 0.2470 0.7440 0.9971
S 0.7530 0.2560 0.0029
S 0.7485 0.7456 0.4970
Ho 0.0000 0.5000 0.5000
S 0.7501 0.7440 0.9971
S 0.2499 0.2560 0.0029
Tm 0.0000 0.5000 0.0000

=====

[4]
Computed, not measured: crystalline MnV4Mo at its relaxed geometry at the GGA-PBE level of DFT.

Summary:
Crystal system   trigonal
SG   R-3m
Offset from the most stable computed form   707 meV/atom

Unit cell a=4.1482 b=4.1526 c=6.7424 alpha=72.13 beta=72.08 gamma=60.04
Fractional positions:
Mo 0.5000 0.5000 0.5000
V 0.3691 0.3688 0.8930
V 0.1173 0.1174 0.6479
V 0.8827 0.8826 0.3521
V 0.6309 0.6312 0.1070
Mn 0.0000 0.0000 0.0000

=====

The records above yield DFT total energy values of -1.31, -5.70, -6.34, -8.82 eV per atom, respectively.